No. 1
Th8Te4Os3C | PBE | relaxed

Summary:
The crystal system is trigonal. The formation energy from raw total energies is -0.7720 eV per atom. Its magnetization is 0.0 μB per formula unit. As for the symmetry: R-3m.

Cell and atoms, written as POSCAR:
```
Th8Te4Os3C
1.0
4.153 2.397 7.627
-4.153 2.397 7.627
0.000 -4.795 7.627
Th Te Os C
8 4 3 1
Cartesian
0.000 0.000 5.351
-2.027 -1.170 12.926
0.000 -2.340 9.954
-2.027 1.170 9.954
2.027 -1.170 12.926
0.000 2.340 12.926
2.027 1.170 9.954
0.000 0.000 17.530
0.000 0.000 0.000
-2.076 -1.199 7.627
-2.076 1.199 15.254
0.000 2.397 7.627
-4.153 0.000 11.440
-2.076 1.199 3.813
2.076 1.199 3.813
0.000 0.000 11.440
```

No. 2
KCeHgSe3 | PBE | relaxed

Summary:
The crystal system is monoclinic. The formation energy from raw total energies is -1.1559 eV per atom. Its magnetization is 0.5 μB per formula unit. As for the symmetry: P2_1/m.

Cell and atoms, written as POSCAR:
```
KCeHgSe3
1.0
8.989 0.000 0.000
0.000 4.299 0.000
-2.677 0.000 9.758
K Ce Hg Se
2 2 2 6
Cartesian
1.224 1.075 2.331
5.088 3.225 7.427
0.707 3.225 8.230
5.605 1.075 1.529
-0.521 1.075 5.518
6.833 3.225 4.241
-1.278 1.075 8.229
1.222 3.225 5.364
3.628 3.225 1.379
2.684 1.075 8.380
5.090 1.075 4.394
7.590 3.225 1.530
```